(1)
This record from Alexandria describes a geometry-optimized La4Hg2Br structure. The functional is PBE-GGA.

The structure in CIF format:
```
data_La4Hg2Br
_chemical_formula_sum 'La8 Hg4 Br2'
_symmetry_space_group_name_H-M 'C 1 2/m 1'
_symmetry_Int_Tables_number 12
_cell_length_a 13.6143
_cell_length_b 4.3145
_cell_length_c 9.2786
_cell_angle_alpha 90.00
_cell_angle_beta 123.50
_cell_angle_gamma 90.00
loop_
_symmetry_equiv_pos_as_xyz
'x,y,z'
'-x,-y,-z'
'-x,y,-z'
'x,-y,z'
'x+1/2,y+1/2,z'
'-x+1/2,-y+1/2,-z'
'-x+1/2,y+1/2,-z'
'x+1/2,-y+1/2,z'
loop_
_atom_site_label
_atom_site_type_symbol
_atom_site_fract_x
_atom_site_fract_y
_atom_site_fract_z
_atom_site_occupancy
La1 La 0.0929 0.0000 0.3888 1
La2 La 0.1783 0.5000 0.0876 1
Hg1 Hg 0.1202 0.5000 0.6805 1
Br1 Br 0.0000 0.0000 0.0000 1
```

---

(2)
This record from Alexandria describes a geometry-optimized La2HgBr structure. The functional is PBE-GGA.

The structure in CIF format:
```
data_La2HgBr
_chemical_formula_sum 'La8 Hg4 Br4'
_symmetry_space_group_name_H-M 'P n m a'
_symmetry_Int_Tables_number 62
_cell_length_a 22.5774
_cell_length_b 4.2326
_cell_length_c 5.2455
_cell_angle_alpha 90.00
_cell_angle_beta 90.00
_cell_angle_gamma 90.00
loop_
_symmetry_equiv_pos_as_xyz
'x,y,z'
'-x,-y,-z'
'-x+1/2,-y,z+1/2'
'x+1/2,y,-z+1/2'
'x+1/2,-y+1/2,-z+1/2'
'-x+1/2,y+1/2,z+1/2'
'-x,y+1/2,-z'
'x,-y+1/2,z'
loop_
_atom_site_label
_atom_site_type_symbol
_atom_site_fract_x
_atom_site_fract_y
_atom_site_fract_z
_atom_site_occupancy
La1 La 0.0196 0.2500 0.2493 1
La2 La 0.1594 0.7500 0.2473 1
Hg1 Hg 0.1032 0.2500 0.7487 1
Br1 Br 0.2356 0.7500 0.7470 1
```

---

(3)
This record from Alexandria describes a geometry-optimized La2HgBr structure. The functional is PBE-GGA.

The structure in CIF format:
```
data_La2HgBr
_chemical_formula_sum 'La6 Hg3 Br3'
_symmetry_space_group_name_H-M 'R 3 m'
_symmetry_Int_Tables_number 160
_symmetry_space_group_name_Hall 'R 3 -2"'
_cell_length_a 3.8917
_cell_length_b 3.8917
_cell_length_c 28.3249
_cell_angle_alpha 90.00
_cell_angle_beta 90.00
_cell_angle_gamma 120.00
loop_
_atom_site_label
_atom_site_type_symbol
_atom_site_fract_x
_atom_site_fract_y
_atom_site_fract_z
_atom_site_occupancy
La1 La 0.0000 0.0000 0.0000 1
La2 La 0.0000 0.0000 0.1657 1
Hg1 Hg 0.0000 0.0000 0.5828 1
Br1 Br 0.0000 0.0000 0.7493 1
```

---

(4)
This record from Alexandria describes a geometry-optimized LaHgBr3 structure. The functional is PBE-GGA.

The structure in CIF format:
```
data_LaHgBr3
_chemical_formula_sum 'La1 Hg1 Br3'
_symmetry_space_group_name_H-M 'P m -3 m'
_symmetry_Int_Tables_number 221
_symmetry_space_group_name_Hall '-P 4 2 3'
_cell_length_a 5.6130
_cell_length_b 5.6130
_cell_length_c 5.6130
_cell_angle_alpha 90.00
_cell_angle_beta 90.00
_cell_angle_gamma 90.00
loop_
_atom_site_label
_atom_site_type_symbol
_atom_site_fract_x
_atom_site_fract_y
_atom_site_fract_z
_atom_site_occupancy
La1 La 0.0000 0.0000 0.0000 1
Hg1 Hg 0.5000 0.5000 0.5000 1
Br1 Br 0.0000 0.5000 0.5000 1
```

---

Summary of uncorrected formation energy in eV per atom
-0.629 -0.773 -0.834 -0.462
(order as listed above)